1.
Mn2TlTe: optimized geometry, GGA-PBEsol.

Cell: 3.109 3.109 7.873 Å, 90.00 90.00 90.00°
Positions (direct):
Mn  0.000  0.000  0.000
Mn  0.500  0.500  0.172
Tl  0.500  0.500  0.759
Te  0.000  0.000  0.355

Calculated values
For the formation energy without anion corrections, the calculation gives 348 meV per atom. The value obtained for the energy above the lowest structure with this stoichiometry is 0.0000 eV/atom. The volume comes out at 76.10 Å³/f.u.

2.
Mn3TlTe: optimized geometry, GGA-PBEsol.

Cell: 4.863 4.863 4.863 Å, 90.00 90.00 90.00°
Positions (direct):
Mn  0.000  0.000  0.500
Mn  0.000  0.500  0.000
Mn  0.500  0.000  0.000
Tl  0.500  0.500  0.500
Te  0.000  0.000  0.000

Calculated values
For the formation energy without anion corrections, the calculation gives 1030 meV per atom. The value obtained for the energy above the lowest structure with this stoichiometry is 0.0000 eV/atom. The volume comes out at 114.99 Å³/f.u.

3.
Mn2TeW: optimized geometry, GGA-PBEsol.

Cell: 4.331 4.331 4.331 Å, 60.00 60.00 60.00°
Positions (direct):
Mn  0.000  0.000  0.000
Mn  0.250  0.250  0.250
Te  0.750  0.750  0.750
W  0.500  0.500  0.500

Calculated values
For the formation energy without anion corrections, the calculation gives 517 meV per atom. The volume comes out at 57.46 Å³/f.u.

4.
Mn2TeW: optimized geometry, GGA-PBEsol.

Cell: 4.909 4.909 4.909 Å, 135.17 135.17 65.27°
Positions (direct):
Mn  0.000  0.000  0.000
Mn  0.750  0.250  0.500
Te  0.500  0.500  0.000
W  0.250  0.750  0.500

Calculated values
For the formation energy without anion corrections, the calculation gives 463 meV per atom. The volume comes out at 57.93 Å³/f.u.

5.
Mn2TeW: optimized geometry, GGA-PBEsol.

Cell: 4.883 4.883 4.883 Å, 140.18 127.21 68.11°
Positions (direct):
Mn  0.249  0.249  0.000
Mn  0.751  0.751  0.000
Te  0.500  0.000  0.500
W  0.000  0.500  0.500

Calculated values
For the formation energy without anion corrections, the calculation gives 541 meV per atom. The volume comes out at 58.40 Å³/f.u.

6.
Mn2TeW: optimized geometry, GGA-PBEsol.

Cell: 7.880 7.880 7.880 Å, 21.92 21.92 21.92°
Positions (direct):
Mn  0.245  0.245  0.245
Mn  0.755  0.755  0.755
Te  0.000  0.000  0.000
W  0.500  0.500  0.500

Calculated values
For the formation energy without anion corrections, the calculation gives 542 meV per atom. The volume comes out at 59.79 Å³/f.u.

Number 1: spin magnetization 0.96 μB per atom. Number 2: spin magnetization 2.09 μB per atom. Number 3: spin magnetization 0.57 μB per atom. Number 4: spin magnetization 0.20 μB per atom. Number 5: spin magnetization 0.87 μB per atom. Number 6: spin magnetization 0.00 μB per atom.